No. 1
Here is a relaxed TmIn2Rh3 crystal from the Alexandria database. Energies are from GGA-PBE.

```
TmIn2Rh3
1.0
4.635 0.000 0.000
-2.318 4.014 0.000
0.000 0.000 11.336
Tm In Rh
2 4 6
direct
0.333 0.667 0.168
0.667 0.333 0.832
0.000 0.000 0.000
0.000 0.000 0.500
0.333 0.667 0.667
0.667 0.333 0.333
0.000 0.000 0.256
0.000 0.000 0.744
0.333 0.667 0.421
0.333 0.667 0.916
0.667 0.333 0.084
0.667 0.333 0.579
```

Properties
ΔH_f (0 K): -65.8 kJ per mole of atoms
D(E_F): 5.9 states/eV/cell
uncorrected energy: -36.1 eV per formula unit
symmetry: P-3m1


No. 2
Here is a relaxed CrReGe2Sb crystal from the Alexandria database. Energies are from GGA-PBE.

```
CrReGe2Sb
1.0
4.559 0.000 0.000
0.000 4.559 0.000
0.000 0.000 5.072
Cr Re Ge Sb
1 1 2 1
direct
0.000 0.000 0.000
0.500 0.500 0.500
0.000 0.500 0.000
0.500 0.000 0.000
0.000 0.000 0.500
```

Properties
formation energy without anion corrections: 1.179 eV/atom
D(E_F): 2.5 states/eV/cell
uncorrected energy: -29.5 eV per formula unit
symmetry: P4/mmm


No. 3
Here is a relaxed Ce5S4Cl crystal from the Alexandria database. Energies are from GGA-PBE.

```
Ce5S4Cl
1.0
2.007 1.159 16.436
-2.007 1.159 16.436
0.000 -2.318 16.436
Ce S Cl
5 4 1
direct
0.000 0.000 0.000
0.201 0.201 0.201
0.400 0.400 0.400
0.600 0.600 0.600
0.799 0.799 0.799
0.100 0.100 0.100
0.300 0.300 0.300
0.700 0.700 0.700
0.900 0.900 0.900
0.500 0.500 0.500
```

Properties
formation energy without anion corrections: -1.921 eV/atom
D(E_F): 24.3 states/eV/cell
uncorrected energy: -67.2 eV per formula unit
symmetry: R-3m


No. 4
Here is a relaxed Mo4RuW crystal from the Alexandria database. Energies are from GGA-PBE.

```
Mo4RuW
1.0
0.000 3.646 3.646
3.646 0.000 3.646
3.646 3.646 0.000
Mo Ru W
4 1 1
direct
0.376 0.376 0.376
0.376 0.376 0.872
0.376 0.872 0.376
0.872 0.376 0.376
0.000 0.000 0.000
0.750 0.750 0.750
```

Properties
ΔH_f (0 K): 36.8 kJ per mole of atoms
D(E_F): 6.9 states/eV/cell
uncorrected energy: -63.3 eV per formula unit
symmetry: F-43m


No. 5
Here is a relaxed MgB3N crystal from the Alexandria database. Energies are from GGA-PBE.

```
MgB3N
1.0
3.616 0.000 0.000
0.000 3.616 0.000
0.000 0.000 3.616
Mg B N
1 3 1
direct
0.000 0.000 0.000
0.000 0.500 0.500
0.500 0.000 0.500
0.500 0.500 0.000
0.500 0.500 0.500
```

Properties
formation energy without anion corrections: 1.770 eV/atom
D(E_F): 1.4 states/eV/cell
uncorrected energy: -21.1 eV per formula unit
symmetry: Pm-3m
energy above the lowest structure with this stoichiometry: 0.000 eV per formula unit


No. 6
Here is a relaxed PmNd4Dy2Ho crystal from the Alexandria database. Energies are from GGA-PBE.

```
PmNd4Dy2Ho
1.0
6.274 0.000 0.000
0.000 3.636 0.000
-2.125 0.000 11.764
Pm Nd Dy Ho
1 4 2 1
direct
0.000 0.000 0.000
0.250 0.500 0.252
0.251 0.000 0.749
0.749 0.000 0.251
0.750 0.500 0.748
0.500 0.000 0.500
0.500 0.500 0.000
0.000 0.500 0.500
```

Properties
ΔH_f (0 K): 1.5 kJ per mole of atoms
D(E_F): 10.9 states/eV/cell
uncorrected energy: -37.5 eV per formula unit
symmetry: P2/m


No. 7
Here is a relaxed Pm3Pr2Y6Er crystal from the Alexandria database. Energies are from GGA-PBE.

```
Pm3Pr2Y6Er
1.0
3.130 -5.418 0.000
3.130 5.418 0.000
-2.077 0.000 11.719
Pm Pr Y Er
3 2 6 1
direct
0.000 0.000 0.000
0.333 0.667 0.000
0.667 0.333 0.000
0.166 0.834 0.500
0.834 0.166 0.500
0.084 0.417 0.250
0.251 0.251 0.750
0.417 0.084 0.250
0.583 0.916 0.750
0.749 0.749 0.250
0.916 0.583 0.750
0.500 0.500 0.500
```

Properties
ΔH_f (0 K): 1.2 kJ per mole of atoms
D(E_F): 15.1 states/eV/cell
uncorrected energy: -67.0 eV per formula unit
symmetry: C2/m


No. 8
Here is a relaxed PrGdZn4 crystal from the Alexandria database. Energies are from GGA-PBE.

```
PrGdZn4
1.0
0.000 3.929 3.929
3.929 0.000 3.929
3.929 3.929 0.000
Pr Gd Zn
1 1 4
direct
0.000 0.000 0.000
0.750 0.750 0.750
0.375 0.375 0.375
0.375 0.375 0.875
0.375 0.875 0.375
0.875 0.375 0.375
```

Properties
ΔH_f (0 K): -31.3 kJ per mole of atoms
D(E_F): 2.1 states/eV/cell
uncorrected energy: -25.9 eV per formula unit
symmetry: F-43m


Copy entry 4 word for word.
Here is a relaxed Mo4RuW crystal from the Alexandria database. Energies are from GGA-PBE.

```
Mo4RuW
1.0
0.000 3.646 3.646
3.646 0.000 3.646
3.646 3.646 0.000
Mo Ru W
4 1 1
direct
0.376 0.376 0.376
0.376 0.376 0.872
0.376 0.872 0.376
0.872 0.376 0.376
0.000 0.000 0.000
0.750 0.750 0.750
```

Properties
ΔH_f (0 K): 36.8 kJ per mole of atoms
D(E_F): 6.9 states/eV/cell
uncorrected energy: -63.3 eV per formula unit
symmetry: F-43m


- Look up the uncorrected energy of the fifth one.
  -21.1 eV per formula unit